The following is a PBE calculation of an optimized crystal structure of LuMgAlRh, from Alexandria via LeMat-Bulk.

abc: 4.6717 4.6717 4.6717
angles: 60.00 60.00 60.00
Fractional coordinates of all 4 atoms:
Lu 0.0000 0.0000 0.0000
Mg 0.7500 0.7500 0.7500
Al 0.5000 0.5000 0.5000
Rh 0.2500 0.2500 0.2500

M_tot ... 0.000 μB per formula unit
E_tot ... -4.80 eV/atom

The following is a PBE calculation of an optimized crystal structure of OsPtN2F, from Alexandria via LeMat-Bulk.

abc: 3.8695 3.8695 4.1110
angles: 90.00 90.00 90.00
Fractional coordinates of all 5 atoms:
Os 0.0000 0.0000 0.0000
Pt 0.5000 0.5000 0.5000
N 0.0000 0.5000 0.0000
N 0.5000 0.0000 0.0000
F 0.0000 0.0000 0.5000

M_tot ... 0.000 μB per formula unit
Distance to the lowest polymorph of the same formula ... 0 meV per atom
E_form (uncorrected) ... 868.2 meV/atom

The following is a PBE calculation of an optimized crystal structure of Cs2NbNi, from Alexandria via LeMat-Bulk.

abc: 5.2800 5.2800 5.2800
angles: 60.00 60.00 60.00
Fractional coordinates of all 4 atoms:
Cs 0.2500 0.2500 0.2500
Cs 0.7500 0.7500 0.7500
Nb 0.0000 0.0000 0.0000
Ni 0.5000 0.5000 0.5000

M_tot ... 4.222 μB per formula unit
E_tot ... -2.40 eV/atom

The following is a PBE calculation of an optimized crystal structure of CdCu2Pd, from Alexandria via LeMat-Bulk.

abc: 3.9448 3.9448 3.8307
angles: 90.00 90.00 90.00
Fractional coordinates of all 4 atoms:
Cd 0.0000 0.0000 0.0000
Cu 0.0000 0.5000 0.5000
Cu 0.5000 0.0000 0.5000
Pd 0.5000 0.5000 0.0000

M_tot ... 0.000 μB per formula unit
E_tot ... -3.71 eV/atom

The following is a PBE calculation of an optimized crystal structure of TlCd2, from Alexandria via LeMat-Bulk.

abc: 5.9623 5.9623 20.3586
angles: 90.00 90.00 120.00
Fractional coordinates of all 24 atoms:
Tl 0.0000 0.0000 0.0912
Tl 0.0000 0.0000 0.4088
Tl 0.0000 0.0000 0.5912
Tl 0.0000 0.0000 0.9088
Tl 0.3333 0.6667 0.1572
Tl 0.3333 0.6667 0.3428
Tl 0.6667 0.3333 0.6572
Tl 0.6667 0.3333 0.8428
Cd 0.0000 0.5000 0.0000
Cd 0.0000 0.5000 0.5000
Cd 0.1631 0.3262 0.7500
Cd 0.1631 0.8369 0.7500
Cd 0.3262 0.1631 0.2500
Cd 0.3333 0.6667 0.6263
Cd 0.3333 0.6667 0.8737
Cd 0.5000 0.0000 0.0000
Cd 0.5000 0.0000 0.5000
Cd 0.5000 0.5000 0.0000
Cd 0.5000 0.5000 0.5000
Cd 0.6667 0.3333 0.1263
Cd 0.6667 0.3333 0.3737
Cd 0.6738 0.8369 0.7500
Cd 0.8369 0.1631 0.2500
Cd 0.8369 0.6738 0.2500

M_tot ... 0.000 μB per formula unit
E_tot ... -1.39 eV/atom

The following is a PBE calculation of an optimized crystal structure of MoHPtW2, from Alexandria via LeMat-Bulk.

abc: 4.0509 4.0509 3.9809
angles: 90.00 90.00 90.00
Fractional coordinates of all 5 atoms:
Mo 0.0000 0.0000 0.0000
H 0.5000 0.5000 0.5000
Pt 0.5000 0.5000 0.0000
W 0.0000 0.5000 0.5000
W 0.5000 0.0000 0.5000

M_tot ... 0.000 μB per formula unit
Distance to the lowest polymorph of the same formula ... 84 meV per atom

The following is a PBE calculation of an optimized crystal structure of Y2ZrW, from Alexandria via LeMat-Bulk.

abc: 3.2358 4.8212 6.4038
angles: 90.00 102.85 90.00
Fractional coordinates of all 4 atoms:
Y 0.0000 0.0000 0.0000
Y 0.3871 0.5000 0.6839
Zr 0.5866 0.5000 0.2414
W 0.8565 0.0000 0.4597

M_tot ... 0.000 μB per formula unit
Distance to the lowest polymorph of the same formula ... 128 meV per atom

The following is a PBE calculation of an optimized crystal structure of La2Pm7Sm, from Alexandria via LeMat-Bulk.

abc: 15.1771 15.1771 3.5105
angles: 90.00 90.00 154.14
Fractional coordinates of all 10 atoms:
La 0.2038 0.7962 0.0000
La 0.7962 0.2038 0.0000
Pm 0.0000 0.0000 0.0000
Pm 0.1564 0.3533 0.0000
Pm 0.3122 0.6878 0.5000
Pm 0.3533 0.1564 0.0000
Pm 0.6467 0.8436 0.0000
Pm 0.6878 0.3122 0.5000
Pm 0.8436 0.6467 0.0000
Sm 0.5000 0.5000 0.5000

M_tot ... 0.000 μB per formula unit
Distance to the lowest polymorph of the same formula ... 0 meV per atom

The following is a PBE calculation of an optimized crystal structure of LaTiHg3, from Alexandria via LeMat-Bulk.

abc: 5.8811 5.8811 5.8811
angles: 90.00 90.00 90.00
Fractional coordinates of all 5 atoms:
La 0.0000 0.0000 0.0000
Ti 0.5000 0.5000 0.5000
Hg 0.0000 0.0000 0.5000
Hg 0.0000 0.5000 0.0000
Hg 0.5000 0.0000 0.0000

M_tot ... 2.663 μB per formula unit
Distance to the lowest polymorph of the same formula ... 868 meV per atom

The following is a PBE calculation of an optimized crystal structure of CeNd2Y4, from Alexandria via LeMat-Bulk.

abc: 3.6311 3.6311 20.4496
angles: 95.10 95.10 60.00
Fractional coordinates of all 7 atoms:
Ce 0.0000 0.0000 0.0000
Nd 0.8098 0.8098 0.4263
Nd 0.9055 0.9055 0.7147
Y 0.0945 0.0945 0.2808
Y 0.1916 0.1916 0.5712
Y 0.6194 0.6194 0.8587
Y 0.7136 0.7136 0.1412

M_tot ... 1.017 μB per formula unit
E_tot ... -5.86 eV/atom

The following is a PBE calculation of an optimized crystal structure of NdLuGaNi, from Alexandria via LeMat-Bulk.

abc: 4.9729 4.9729 4.9729
angles: 60.00 60.00 60.00
Fractional coordinates of all 4 atoms:
Nd 0.0000 0.0000 0.0000
Lu 0.5000 0.5000 0.5000
Ga 0.2500 0.2500 0.2500
Ni 0.7500 0.7500 0.7500

M_tot ... 0.000 μB per formula unit
E_tot ... -4.92 eV/atom

The following is a PBE calculation of an optimized crystal structure of LiPm2Ga4Ir3, from Alexandria via LeMat-Bulk.

abc: 4.3170 4.3170 10.1319
angles: 90.00 90.00 90.00
Fractional coordinates of all 10 atoms:
Li 0.0000 0.0000 0.0000
Pm 0.0000 0.5000 0.7475
Pm 0.5000 0.0000 0.2525
Ga 0.0000 0.0000 0.5000
Ga 0.0000 0.5000 0.1226
Ga 0.5000 0.0000 0.8774
Ga 0.5000 0.5000 0.5000
Ir 0.0000 0.5000 0.3663
Ir 0.5000 0.0000 0.6337
Ir 0.5000 0.5000 0.0000

M_tot ... 0.000 μB per formula unit
E_tot ... -5.65 eV/atom

The following is a PBE calculation of an optimized crystal structure of Sr2ScPd2, from Alexandria via LeMat-Bulk.

abc: 7.4741 7.4741 4.7430
angles: 90.00 90.00 90.00
Fractional coordinates of all 10 atoms:
Sr 0.1699 0.3301 0.0000
Sr 0.3301 0.8301 0.0000
Sr 0.6699 0.1699 0.0000
Sr 0.8301 0.6699 0.0000
Sc 0.0000 0.0000 0.5000
Sc 0.5000 0.5000 0.5000
Pd 0.1349 0.6349 0.5000
Pd 0.3651 0.1349 0.5000
Pd 0.6349 0.8651 0.5000
Pd 0.8651 0.3651 0.5000

M_tot ... 0.000 μB per formula unit
Distance to the lowest polymorph of the same formula ... 0 meV per atom

The following is a PBE calculation of an optimized crystal structure of VIn3B, from Alexandria via LeMat-Bulk.

abc: 4.7552 4.7552 4.7552
angles: 90.00 90.00 90.00
Fractional coordinates of all 5 atoms:
V 0.0000 0.0000 0.0000
In 0.0000 0.5000 0.5000
In 0.5000 0.0000 0.5000
In 0.5000 0.5000 0.0000
B 0.5000 0.5000 0.5000

M_tot ... 3.170 μB per formula unit
Distance to the lowest polymorph of the same formula ... 0 meV per atom

The following is a PBE calculation of an optimized crystal structure of ScMnS2, from Alexandria via LeMat-Bulk.

abc: 7.6821 7.6821 7.6821
angles: 28.11 28.11 28.11
Fractional coordinates of all 4 atoms:
Sc 0.0000 0.0000 0.0000
Mn 0.5000 0.5000 0.5000
S 0.3973 0.3973 0.3973
S 0.6027 0.6027 0.6027

M_tot ... 4.033 μB per formula unit
Distance to the lowest polymorph of the same formula ... 0 meV per atom
E_form (uncorrected) ... -1042.1 meV/atom

The following is a PBE calculation of an optimized crystal structure of InC2S, from Alexandria via LeMat-Bulk.

abc: 4.1898 4.1898 4.1898
angles: 60.00 60.00 60.00
Fractional coordinates of all 4 atoms:
In 0.0000 0.0000 0.0000
C 0.2500 0.2500 0.2500
C 0.7500 0.7500 0.7500
S 0.5000 0.5000 0.5000

M_tot ... 0.000 μB per formula unit
Distance to the lowest polymorph of the same formula ... 1027 meV per atom
E_form (uncorrected) ... 2502.1 meV/atom

The following is a PBE calculation of an optimized crystal structure of RbW4Se8, from Alexandria via LeMat-Bulk.

abc: 9.2625 9.2625 12.3437
angles: 119.13 119.13 20.95
Fractional coordinates of all 13 atoms:
Rb 0.0000 0.0000 0.0000
W 0.1976 0.1976 0.5214
W 0.2989 0.2989 0.1062
W 0.7011 0.7011 0.8938
W 0.8024 0.8024 0.4786
Se 0.0789 0.0789 0.7963
Se 0.3106 0.3106 0.9104
Se 0.3391 0.3391 0.3574
Se 0.3566 0.3566 0.6555
Se 0.6434 0.6434 0.3445
Se 0.6609 0.6609 0.6426
Se 0.6894 0.6894 0.0896
Se 0.9211 0.9211 0.2037

M_tot ... 0.000 μB per formula unit
E_form (uncorrected) ... -393.5 meV/atom

The following is a PBE calculation of an optimized crystal structure of MgAsSe, from Alexandria via LeMat-Bulk.

abc: 5.9066 5.9066 5.9066
angles: 144.57 144.57 50.97
Fractional coordinates of all 3 atoms:
Mg 0.0000 0.0000 0.0000
As 0.3776 0.3776 0.0000
Se 0.6130 0.6130 0.0000

M_tot ... 0.000 μB per formula unit
Distance to the lowest polymorph of the same formula ... 0 meV per atom
E_form (uncorrected) ... -331.7 meV/atom

The following is a PBE calculation of an optimized crystal structure of BaMn2CuS4, from Alexandria via LeMat-Bulk.

abc: 6.4098 6.4098 6.4098
angles: 121.68 121.68 87.12
Fractional coordinates of all 8 atoms:
Ba 0.0000 0.0000 0.0000
Mn 0.2500 0.7500 0.5000
Mn 0.7500 0.2500 0.5000
Cu 0.5000 0.5000 0.0000
S 0.1411 0.1411 0.6066
S 0.4656 0.8589 0.0000
S 0.5344 0.5344 0.3934
S 0.8589 0.4656 0.0000

M_tot ... 9.002 μB per formula unit
E_form (uncorrected) ... -774.4 meV/atom

The following is a PBE calculation of an optimized crystal structure of KLiCdSb2, from Alexandria via LeMat-Bulk.

abc: 6.8957 6.8957 6.8957
angles: 137.60 137.60 61.52
Fractional coordinates of all 5 atoms:
K 0.0000 0.0000 0.0000
Li 0.7500 0.2500 0.5000
Cd 0.2500 0.7500 0.5000
Sb 0.3779 0.3779 0.0000
Sb 0.6221 0.6221 0.0000

M_tot ... 0.000 μB per formula unit
E_form (uncorrected) ... -398.3 meV/atom

The following is a PBE calculation of an optimized crystal structure of BaCa2Br, from Alexandria via LeMat-Bulk.

abc: 11.4591 11.4591 11.4591
angles: 20.65 20.65 20.65
Fractional coordinates of all 4 atoms:
Ba 0.0000 0.0000 0.0000
Ca 0.5274 0.5274 0.5274
Ca 0.7692 0.7692 0.7692
Br 0.2564 0.2564 0.2564

M_tot ... 0.379 μB per formula unit
E_form (uncorrected) ... -677.9 meV/atom

The following is a PBE calculation of an optimized crystal structure of FeTe2Ru, from Alexandria via LeMat-Bulk.

abc: 7.5185 7.5185 7.5185
angles: 154.04 150.54 39.66
Fractional coordinates of all 4 atoms:
Fe 0.0000 0.0000 0.0000
Te 0.5588 0.5588 0.0000
Te 0.8078 0.3078 0.5000
Ru 0.3905 0.8905 0.5000

M_tot ... 3.140 μB per formula unit
Distance to the lowest polymorph of the same formula ... 273 meV per atom
E_form (uncorrected) ... 247.3 meV/atom

The following is a PBE calculation of an optimized crystal structure of TiAsOsSe2, from Alexandria via LeMat-Bulk.

abc: 4.7905 4.7905 4.9118
angles: 90.00 90.00 90.00
Fractional coordinates of all 5 atoms:
Ti 0.0000 0.0000 0.0000
As 0.0000 0.0000 0.5000
Os 0.5000 0.5000 0.5000
Se 0.0000 0.5000 0.0000
Se 0.5000 0.0000 0.0000

M_tot ... 2.730 μB per formula unit
Distance to the lowest polymorph of the same formula ... 216 meV per atom
E_form (uncorrected) ... 938.0 meV/atom

The following is a PBE calculation of an optimized crystal structure of PmPu2P, from Alexandria via LeMat-Bulk.

abc: 4.3517 4.3517 4.8544
angles: 90.00 90.00 90.00
Fractional coordinates of all 4 atoms:
Pm 0.0000 0.0000 0.0000
Pu 0.0000 0.5000 0.5000
Pu 0.5000 0.0000 0.5000
P 0.5000 0.5000 0.0000

M_tot ... 11.446 μB per formula unit
Distance to the lowest polymorph of the same formula ... 0 meV per atom

The following is a PBE calculation of an optimized crystal structure of Ta2TcSb, from Alexandria via LeMat-Bulk.

abc: 8.8065 8.8065 8.8065
angles: 20.82 20.82 20.82
Fractional coordinates of all 4 atoms:
Ta 0.2408 0.2408 0.2408
Ta 0.7592 0.7592 0.7592
Tc 0.5000 0.5000 0.5000
Sb 0.0000 0.0000 0.0000

M_tot ... 0.000 μB per formula unit
E_form (uncorrected) ... 204.1 meV/atom

The following is a PBE calculation of an optimized crystal structure of Pu2ZrCo9, from Alexandria via LeMat-Bulk.

abc: 8.6289 8.6289 8.6289
angles: 32.57 32.57 32.57
Fractional coordinates of all 12 atoms:
Pu 0.1391 0.1391 0.1391
Pu 0.8609 0.8609 0.8609
Zr 0.0000 0.0000 0.0000
Co 0.0806 0.5807 0.5807
Co 0.3335 0.3335 0.3335
Co 0.4193 0.4193 0.9194
Co 0.4193 0.9194 0.4193
Co 0.5000 0.5000 0.5000
Co 0.5807 0.0806 0.5807
Co 0.5807 0.5807 0.0806
Co 0.6665 0.6665 0.6665
Co 0.9194 0.4193 0.4193

M_tot ... 0.252 μB per formula unit
E_tot ... -8.59 eV/atom